Compound: FeI3F
Source: the Alexandria database
Functional: PBE with a Hubbard U
Structure: optimized geometry

Cell and atoms, written as POSCAR:
```
FeI3F
1.0
5.2980 0.0000 0.0000
0.0000 5.2980 0.0000
0.0000 0.0000 5.2980
Fe I F
1 3 1
direct
0.0000 0.0000 0.0000
0.0000 0.5000 0.5000
0.5000 0.0000 0.5000
0.5000 0.5000 0.0000
0.5000 0.5000 0.5000
```

Summary:
SG   Pm-3m, No. 221
Total magnetic moment   4.54 μB per cell
E   -8.4 eV for the cell shown